1.
Below is a relaxed structure of Cr2ReW, with properties calculated at the PBE-GGA level.

Lattice parameters (Å, degrees): 6.055 6.055 6.055 90.00 90.00 90.00
Element x y z (fractional)
Cr1 0.000 0.000 0.000
Cr2 0.000 0.500 0.500
Cr3 0.250 0.250 0.250
Cr4 0.250 0.750 0.750
Cr5 0.500 0.000 0.500
Cr6 0.500 0.500 0.000
Cr7 0.750 0.250 0.750
Cr8 0.750 0.750 0.250
Re1 0.000 0.000 0.500
Re2 0.000 0.500 0.000
Re3 0.500 0.000 0.000
Re4 0.500 0.500 0.500
W1 0.250 0.250 0.750
W2 0.250 0.750 0.250
W3 0.750 0.250 0.250
W4 0.750 0.750 0.750

## Properties
The space-group type is No. 216. The calculation puts the magnetic moment at 0.125 μB/atom. As for the energy of formation from the pure elements: 0.059 eV per atom. As for the raw total energy: -177.64 eV per cell.


2.
Below is a relaxed structure of Pm6BeF12, with properties calculated at the PBE-GGA level.

Lattice parameters (Å, degrees): 6.890 6.890 6.890 103.58 103.58 103.58
Element x y z (fractional)
Pm1 0.207 0.659 0.241
Pm2 0.241 0.207 0.659
Pm3 0.341 0.759 0.793
Pm4 0.659 0.241 0.207
Pm5 0.759 0.793 0.341
Pm6 0.793 0.341 0.759
Be1 0.000 0.000 0.000
F1 0.017 0.736 0.924
F2 0.076 0.983 0.264
F3 0.199 0.467 0.482
F4 0.264 0.076 0.983
F5 0.467 0.482 0.199
F6 0.482 0.199 0.467
F7 0.518 0.801 0.533
F8 0.533 0.518 0.801
F9 0.736 0.924 0.017
F10 0.801 0.533 0.518
F11 0.924 0.017 0.736
F12 0.983 0.264 0.076

## Properties
The space-group type is No. 148. The calculation puts the uncorrected formation energy at -3.09 eV/atom. The calculation puts the magnetic moment at 0.000 μB/atom. As for the raw total energy: -113.37 eV per cell.


3.
Below is a relaxed structure of MgCr2Bi2, with properties calculated at the PBE-GGA level.

Lattice parameters (Å, degrees): 3.475 3.475 17.982 90.00 90.00 90.00
Element x y z (fractional)
Mg1 0.000 0.000 0.000
Mg2 0.500 0.500 0.500
Cr1 0.000 0.500 0.250
Cr2 0.000 0.500 0.750
Cr3 0.500 0.000 0.250
Cr4 0.500 0.000 0.750
Bi1 0.000 0.000 0.374
Bi2 0.000 0.000 0.626
Bi3 0.500 0.500 0.126
Bi4 0.500 0.500 0.874

## Properties
Its energy relative to the lowest polymorph listed for this composition is 0.0 meV per atom. The space-group type is No. 139. The calculation puts the magnetic moment at 0.000 μB/atom. As for the energy of formation from the pure elements: 0.423 eV per atom. As for the raw total energy: -52.98 eV per cell.


4.
Below is a relaxed structure of Pm3MgSn2, with properties calculated at the PBE-GGA level.

Lattice parameters (Å, degrees): 9.611 9.611 9.611 140.20 56.98 140.96
Element x y z (fractional)
Pm1 0.177 0.747 0.923
Pm2 0.250 0.250 0.000
Pm3 0.323 0.247 0.570
Pm4 0.677 0.753 0.430
Pm5 0.750 0.750 0.000
Pm6 0.823 0.253 0.077
Mg1 0.250 0.750 0.500
Mg2 0.750 0.250 0.500
Sn1 0.133 0.256 0.389
Sn2 0.367 0.756 0.122
Sn3 0.633 0.244 0.878
Sn4 0.867 0.744 0.611

## Properties
The space-group type is No. 72. The calculation puts the magnetic moment at 0.249 μB/atom. As for the energy of formation from the pure elements: -0.511 eV per atom. As for the raw total energy: -53.83 eV per cell.


5.
Below is a relaxed structure of HoNpTlO6, with properties calculated at the PBE-GGA level.

Lattice parameters (Å, degrees): 5.598 5.598 9.856 90.00 90.00 120.00
Element x y z (fractional)
Ho1 0.000 0.000 0.000
Ho2 0.000 0.000 0.500
Np1 0.333 0.667 0.250
Np2 0.667 0.333 0.750
Tl1 0.333 0.667 0.750
Tl2 0.667 0.333 0.250
O1 0.029 0.353 0.131
O2 0.029 0.677 0.369
O3 0.323 0.353 0.369
O4 0.323 0.971 0.131
O5 0.353 0.029 0.631
O6 0.353 0.323 0.869
O7 0.647 0.677 0.131
O8 0.647 0.971 0.369
O9 0.677 0.029 0.869
O10 0.677 0.647 0.631
O11 0.971 0.323 0.631
O12 0.971 0.647 0.869

## Properties
The space-group type is No. 163. The calculation puts the uncorrected formation energy at -2.35 eV/atom. The calculation puts the magnetic moment at 0.111 μB/atom. As for the raw total energy: -141.64 eV per cell.


6.
Below is a relaxed structure of Li3TmBi2Se6, with properties calculated at the PBE-GGA level.

Lattice parameters (Å, degrees): 7.126 7.126 6.980 99.78 99.78 120.11
Element x y z (fractional)
Li1 0.000 0.000 0.000
Li2 0.321 0.679 0.000
Li3 0.679 0.321 0.000
Tm1 0.500 0.500 0.500
Bi1 0.165 0.835 0.500
Bi2 0.835 0.165 0.500
Se1 0.091 0.414 0.241
Se2 0.263 0.263 0.759
Se3 0.414 0.091 0.241
Se4 0.586 0.909 0.759
Se5 0.737 0.737 0.241
Se6 0.909 0.586 0.759

## Properties
The space-group type is No. 12. The calculation puts the uncorrected formation energy at -1.04 eV/atom. The calculation puts the magnetic moment at 0.000 μB/atom. As for the raw total energy: -51.41 eV per cell.


7.
Below is a relaxed structure of Tb3SmDy6Sc2, with properties calculated at the PBE-GGA level.

Lattice parameters (Å, degrees): 6.076 6.076 11.620 94.98 94.98 119.96
Element x y z (fractional)
Tb1 0.000 0.000 0.000
Tb2 0.333 0.667 0.000
Tb3 0.667 0.333 0.000
Sm1 0.500 0.500 0.500
Dy1 0.082 0.418 0.255
Dy2 0.245 0.245 0.745
Dy3 0.418 0.082 0.255
Dy4 0.582 0.918 0.745
Dy5 0.755 0.755 0.255
Dy6 0.918 0.582 0.745
Sc1 0.167 0.833 0.500
Sc2 0.833 0.167 0.500

## Properties
The space-group type is No. 12. The calculation puts the magnetic moment at 0.000 μB/atom. As for the energy of formation from the pure elements: 0.035 eV per atom. As for the raw total energy: -58.47 eV per cell.


8.
Below is a relaxed structure of NaZnGaAu, with properties calculated at the PBE-GGA level.

Lattice parameters (Å, degrees): 7.694 4.437 5.764 90.00 116.24 90.00
Element x y z (fractional)
Na1 0.000 0.000 0.000
Na2 0.500 0.500 0.000
Zn1 0.200 0.000 0.601
Zn2 0.700 0.500 0.601
Ga1 0.455 0.000 0.367
Ga2 0.955 0.500 0.367
Au1 0.311 0.500 0.434
Au2 0.811 0.000 0.434

## Properties
Its energy relative to the lowest polymorph listed for this composition is 0.0 meV per atom. The space-group type is No. 8. The calculation puts the magnetic moment at 0.000 μB/atom. As for the energy of formation from the pure elements: -0.194 eV per atom. As for the raw total energy: -19.34 eV per cell.


9.
Below is a relaxed structure of Pr2ScTl, with properties calculated at the PBE-GGA level.

Lattice parameters (Å, degrees): 4.183 4.183 6.862 90.00 90.00 90.00
Element x y z (fractional)
Pr1 0.000 0.000 0.245
Pr2 0.000 0.000 0.755
Sc1 0.500 0.500 0.500
Tl1 0.500 0.500 0.000

## Properties
Its energy relative to the lowest polymorph listed for this composition is 23.8 meV per atom. The space-group type is No. 123. The calculation puts the magnetic moment at 0.000 μB/atom. As for the energy of formation from the pure elements: -0.136 eV per atom. As for the raw total energy: -18.80 eV per cell.


10.
Below is a relaxed structure of NbSiAs2Se, with properties calculated at the PBE-GGA level.

Lattice parameters (Å, degrees): 4.665 4.665 4.735 90.00 90.00 90.00
Element x y z (fractional)
Nb1 0.000 0.000 0.000
Si1 0.500 0.500 0.500
As1 0.000 0.500 0.500
As2 0.500 0.000 0.500
Se1 0.500 0.500 0.000

## Properties
Its energy relative to the lowest polymorph listed for this composition is 214.4 meV per atom. The space-group type is No. 123. The calculation puts the uncorrected formation energy at 0.77 eV/atom. The calculation puts the magnetic moment at 0.000 μB/atom. As for the raw total energy: -24.44 eV per cell.


11.
Below is a relaxed structure of TbSm3Y12, with properties calculated at the PBE-GGA level.

Lattice parameters (Å, degrees): 5.063 5.063 20.264 90.00 90.00 90.00
Element x y z (fractional)
Tb1 0.000 0.000 0.000
Sm1 0.000 0.000 0.250
Sm2 0.000 0.000 0.500
Sm3 0.000 0.000 0.750
Y1 0.000 0.500 0.124
Y2 0.000 0.500 0.375
Y3 0.000 0.500 0.625
Y4 0.000 0.500 0.876
Y5 0.500 0.000 0.124
Y6 0.500 0.000 0.375
Y7 0.500 0.000 0.625
Y8 0.500 0.000 0.876
Y9 0.500 0.500 0.000
Y10 0.500 0.500 0.249
Y11 0.500 0.500 0.500
Y12 0.500 0.500 0.751

## Properties
The space-group type is No. 123. The calculation puts the magnetic moment at 0.000 μB/atom. As for the energy of formation from the pure elements: 0.022 eV per atom. As for the raw total energy: -96.01 eV per cell.


12.
Below is a relaxed structure of Ac5Pr2NdDy, with properties calculated at the PBE-GGA level.

Lattice parameters (Å, degrees): 11.986 11.986 11.986 138.49 138.49 60.15
Element x y z (fractional)
Ac1 0.000 0.000 0.000
Ac2 0.087 0.587 0.948
Ac3 0.139 0.087 0.500
Ac4 0.361 0.861 0.948
Ac5 0.413 0.361 0.500
Ac6 0.500 0.500 0.000
Ac7 0.587 0.639 0.500
Ac8 0.639 0.139 0.052
Ac9 0.861 0.913 0.500
Ac10 0.913 0.413 0.052
Pr1 0.123 0.377 0.500
Pr2 0.377 0.877 0.255
Pr3 0.623 0.123 0.745
Pr4 0.877 0.623 0.500
Nd1 0.250 0.250 0.000
Nd2 0.750 0.750 0.000
Dy1 0.250 0.750 0.500
Dy2 0.750 0.250 0.500

## Properties
The space-group type is No. 140. The calculation puts the magnetic moment at 0.000 μB/atom. As for the energy of formation from the pure elements: 0.279 eV per atom. As for the raw total energy: -73.93 eV per cell.


13.
Below is a relaxed structure of Rb2PbSe, with properties calculated at the PBE-GGA level.

Lattice parameters (Å, degrees): 11.533 11.533 6.115 90.00 90.00 90.00
Element x y z (fractional)
Rb1 0.124 0.250 0.125
Rb2 0.250 0.624 0.375
Rb3 0.250 0.876 0.875
Rb4 0.376 0.250 0.625
Rb5 0.624 0.750 0.625
Rb6 0.750 0.124 0.875
Rb7 0.750 0.376 0.375
Rb8 0.876 0.750 0.125
Pb1 0.000 0.000 0.500
Pb2 0.000 0.500 0.750
Pb3 0.500 0.000 0.250
Pb4 0.500 0.500 0.000
Se1 0.000 0.000 0.000
Se2 0.000 0.500 0.250
Se3 0.500 0.000 0.750
Se4 0.500 0.500 0.500

## Properties
Its energy relative to the lowest polymorph listed for this composition is 0.0 meV per atom. The space-group type is No. 122. The calculation puts the uncorrected formation energy at -0.35 eV/atom. The calculation puts the magnetic moment at 0.415 μB/atom. As for the raw total energy: -42.07 eV per cell.


14.
Below is a relaxed structure of NaHfAl, with properties calculated at the PBE-GGA level.

Lattice parameters (Å, degrees): 4.798 17.017 3.299 90.00 90.00 90.00
Element x y z (fractional)
Na1 0.000 0.220 0.250
Na2 0.000 0.780 0.750
Na3 0.500 0.280 0.750
Na4 0.500 0.720 0.250
Hf1 0.000 0.429 0.750
Hf2 0.000 0.571 0.250
Hf3 0.500 0.071 0.250
Hf4 0.500 0.929 0.750
Al1 0.000 0.062 0.750
Al2 0.000 0.938 0.250
Al3 0.500 0.438 0.250
Al4 0.500 0.562 0.750

## Properties
Its energy relative to the lowest polymorph listed for this composition is 56.9 meV per atom. The space-group type is No. 63. The calculation puts the magnetic moment at 0.000 μB/atom. As for the energy of formation from the pure elements: 0.036 eV per atom. As for the raw total energy: -59.63 eV per cell.


15.
Below is a relaxed structure of CrSiMo2, with properties calculated at the PBE-GGA level.

Lattice parameters (Å, degrees): 3.154 3.154 5.639 90.00 90.00 90.00
Element x y z (fractional)
Cr1 0.000 0.000 0.000
Si1 0.500 0.500 0.768
Mo1 0.000 0.000 0.532
Mo2 0.500 0.500 0.239

## Properties
The space-group type is No. 99. The calculation puts the uncorrected formation energy at -0.08 eV/atom. The calculation puts the magnetic moment at 0.000 μB/atom. As for the raw total energy: -37.01 eV per cell.


16.
Below is a relaxed structure of CeMgAlPd, with properties calculated at the PBE-GGA level.

Lattice parameters (Å, degrees): 6.916 6.916 6.916 90.00 90.00 90.00
Element x y z (fractional)
Ce1 0.000 0.000 0.000
Ce2 0.000 0.500 0.500
Ce3 0.500 0.000 0.500
Ce4 0.500 0.500 0.000
Mg1 0.000 0.000 0.500
Mg2 0.000 0.500 0.000
Mg3 0.500 0.000 0.000
Mg4 0.500 0.500 0.500
Al1 0.250 0.250 0.750
Al2 0.250 0.750 0.250
Al3 0.750 0.250 0.250
Al4 0.750 0.750 0.750
Pd1 0.250 0.250 0.250
Pd2 0.250 0.750 0.750
Pd3 0.750 0.250 0.750
Pd4 0.750 0.750 0.250

## Properties
The space-group type is No. 216. The calculation puts the magnetic moment at 0.120 μB/atom. As for the energy of formation from the pure elements: -0.437 eV per atom. As for the raw total energy: -72.85 eV per cell.